Record 1
# Sc3AlTe4 PBE optimized geometry
# Calculated volume   240 Å³/f.u.
# Formation energy (no corrections)   -0.7328 eV per atom
data_Sc3AlTe4
_chemical_formula_sum 'Sc6 Al2 Te8'
_cell_length_a 5.847
_cell_length_b 9.423
_cell_length_c 8.713
_cell_angle_alpha 90.00
_cell_angle_beta 90.00
_cell_angle_gamma 90.00
_symmetry_space_group_name_H-M 'P m m n'
_symmetry_Int_Tables_number 59
loop_
_symmetry_equiv_pos_as_xyz
'x,y,z'
'-x,-y,-z'
'-x+1/2,-y+1/2,z'
'x+1/2,y+1/2,-z'
'x+1/2,-y,-z'
'-x+1/2,y,z'
'-x,y+1/2,-z'
'x,-y+1/2,z'
loop_
_atom_site_label
_atom_site_fract_x
_atom_site_fract_y
_atom_site_fract_z
_atom_site_occupancy
Sc1 0.250 0.043 0.149 1
Sc2 0.250 0.250 0.763 1
Al1 0.250 0.750 0.591 1
Te1 0.250 0.250 0.410 1
Te2 0.250 0.547 0.831 1
Te3 0.250 0.750 0.255 1


Record 2
# MgZrPb2 PBE optimized geometry
# Calculated volume   99 Å³/f.u.
# Final energy   -4.45 eV/atom
data_MgZrPb2
_chemical_formula_sum 'Mg2 Zr2 Pb4'
_cell_length_a 7.252
_cell_length_b 8.121
_cell_length_c 3.366
_cell_angle_alpha 90.00
_cell_angle_beta 90.00
_cell_angle_gamma 90.00
_symmetry_space_group_name_H-M 'C m m m'
_symmetry_Int_Tables_number 65
_symmetry_space_group_name_Hall '-C 2 2'
loop_
_atom_site_label
_atom_site_fract_x
_atom_site_fract_y
_atom_site_fract_z
_atom_site_occupancy
Mg1 0.000 0.000 0.000 1
Zr1 0.000 0.500 0.000 1
Pb1 0.250 0.250 0.500 1


Record 3
# LaBe PBE optimized geometry
# Calculated volume   48 Å³/f.u.
# Final energy   -4.20 eV/atom
data_LaBe
_chemical_formula_sum 'La6 Be6'
_cell_length_a 9.6126
_cell_length_b 9.6126
_cell_length_c 3.5872
_cell_angle_alpha 90.00
_cell_angle_beta 90.00
_cell_angle_gamma 120.00
_symmetry_space_group_name_H-M 'P 63/m'
_symmetry_Int_Tables_number 176
_symmetry_space_group_name_Hall '-P 6c'
loop_
_atom_site_label
_atom_site_fract_x
_atom_site_fract_y
_atom_site_fract_z
_atom_site_occupancy
La1 0.1301 0.7102 0.2500 1
Be1 0.0489 0.9027 0.7500 1


Record 4
# Li5CdPd3 PBE optimized geometry
# Calculated volume   136 Å³/f.u.
# Final energy   -3.23 eV/atom
data_Li5CdPd3
_chemical_formula_sum 'Li10 Cd2 Pd6'
_cell_length_a 7.6073
_cell_length_b 7.6073
_cell_length_c 5.4225
_cell_angle_alpha 90.00
_cell_angle_beta 90.00
_cell_angle_gamma 120.00
_symmetry_space_group_name_H-M 'P 63/m c m'
_symmetry_Int_Tables_number 193
_symmetry_space_group_name_Hall '-P 6c 2'
loop_
_atom_site_label
_atom_site_fract_x
_atom_site_fract_y
_atom_site_fract_z
_atom_site_occupancy
Li1 0.0000 0.3287 0.2500 1
Li2 0.3333 0.6667 0.0000 1
Cd1 0.0000 0.0000 0.0000 1
Pd1 0.0000 0.3430 0.7500 1


Record 5
# BeIn2Cu PBE optimized geometry
# Calculated volume   79 Å³/f.u.
# Final energy   -2.79 eV/atom
data_BeIn2Cu
_chemical_formula_sum 'Be4 In8 Cu4'
_cell_length_a 7.186
_cell_length_b 7.186
_cell_length_c 6.103
_cell_angle_alpha 90.00
_cell_angle_beta 90.00
_cell_angle_gamma 90.00
_symmetry_space_group_name_H-M 'I -4 2 d'
_symmetry_Int_Tables_number 122
_symmetry_space_group_name_Hall 'I -4 2bw'
loop_
_atom_site_label
_atom_site_fract_x
_atom_site_fract_y
_atom_site_fract_z
_atom_site_occupancy
Be1 0.000 0.000 0.000 1
In1 0.236 0.250 0.125 1
Cu1 0.000 0.000 0.500 1


Record 6
# HfNbTl2As PBE optimized geometry
# Calculated volume   144 Å³/f.u.
# Final energy   -4.97 eV/atom
data_HfNbTl2As
_chemical_formula_sum 'Hf1 Nb1 Tl2 As1'
_cell_length_a 5.425
_cell_length_b 5.425
_cell_length_c 4.887
_cell_angle_alpha 90.00
_cell_angle_beta 90.00
_cell_angle_gamma 90.00
_symmetry_space_group_name_H-M 'P 4/m m m'
_symmetry_Int_Tables_number 123
_symmetry_space_group_name_Hall '-P 4 2'
loop_
_atom_site_label
_atom_site_fract_x
_atom_site_fract_y
_atom_site_fract_z
_atom_site_occupancy
Hf1 0.000 0.000 0.000 1
Nb1 0.500 0.500 0.500 1
Tl1 0.000 0.500 0.500 1
As1 0.500 0.500 0.000 1